Entry 1:
18
Lattice="2.161 -9.306 0.000 2.161 9.306 0.000 0.000 0.000 13.255" Properties=species:S:1:pos:R:3 comment="Tb2HoAgTe5 GGA-PBE optimized geometry" n_ef_per_ev_atom=0.02 raw_formation_energy_ev_per_atom=-1.104 crystal_system=orthorhombic pbc="T T T"
Tb 2.161 7.230 6.627
Tb 2.161 6.955 1.543
Tb 2.161 -6.955 8.171
Tb 2.161 -7.230 0.000
Ho 2.161 5.746 10.908
Ho 2.161 -5.746 4.280
Ag 2.161 1.261 3.659
Ag 2.161 -1.261 10.287
Te 2.161 8.545 11.865
Te 2.161 3.984 6.408
Te 2.161 3.604 2.027
Te 2.161 2.659 10.784
Te 2.161 0.038 7.883
Te 2.161 -0.038 1.255
Te 2.161 -2.659 4.156
Te 2.161 -3.604 8.654
Te 2.161 -3.984 13.035
Te 2.161 -8.545 5.238

***

Entry 2:
10
Lattice="4.673 0.000 0.000 0.000 4.673 0.000 0.000 0.000 11.092" Properties=species:S:1:pos:R:3 comment="Ba2Al4Ga3Sn GGA-PBE optimized geometry" n_ef_per_ev_atom=0.20 ef_ev_per_atom=-0.336 crystal_system=tetragonal pbc="T T T"
Ba 0.000 2.337 2.722
Ba 2.337 0.000 8.370
Al 0.000 0.000 0.000
Al 0.000 2.337 7.062
Al 2.337 0.000 4.030
Al 2.337 2.337 0.000
Ga 0.000 2.337 9.702
Ga 2.337 0.000 1.390
Ga 2.337 2.337 5.546
Sn 0.000 0.000 5.546

***

Entry 3:
4
Lattice="3.816 0.000 0.000 0.000 3.816 0.000 0.000 0.000 3.714" Properties=species:S:1:pos:R:3 comment="HfFe2Cu GGA-PBE optimized geometry" n_ef_per_ev_atom=0.62 ef_ev_per_atom=-0.060 crystal_system=tetragonal pbc="T T T"
Hf 0.000 0.000 0.000
Fe 0.000 1.908 1.857
Fe 1.908 0.000 1.857
Cu 1.908 1.908 0.000

***

Entry 4:
5
Lattice="4.970 0.000 0.000 0.000 4.970 0.000 0.000 0.000 4.970" Properties=species:S:1:pos:R:3 comment="TlCuMo3 GGA-PBE optimized geometry" n_ef_per_ev_atom=2.06 ef_ev_per_atom=2.894 crystal_system=cubic relative_energy_mev_per_atom=1389 pbc="T T T"
Tl 0.000 0.000 0.000
Cu 2.485 2.485 2.485
Mo 0.000 0.000 2.485
Mo 0.000 2.485 0.000
Mo 2.485 0.000 0.000

***

Entry 5:
7
Lattice="4.514 -3.534 0.000 4.514 3.534 0.000 -3.476 0.000 4.410" Properties=species:S:1:pos:R:3 comment="BaZn4Ag2 GGA-PBE optimized geometry" n_ef_per_ev_atom=0.41 ef_ev_per_atom=-0.120 crystal_system=monoclinic pbc="T T T"
Ba 0.000 0.000 0.000
Zn 3.805 -2.224 3.018
Zn 1.747 2.224 1.392
Zn 3.805 2.224 3.018
Zn 1.747 -2.224 1.392
Ag 1.903 0.000 3.305
Ag 3.650 0.000 1.105

***

Entry 6:
4
Lattice="2.531 -4.475 0.000 2.531 4.475 0.000 0.000 0.000 2.800" Properties=species:S:1:pos:R:3 comment="LiInTc2 GGA-PBE optimized geometry" n_ef_per_ev_atom=1.02 ef_ev_per_atom=0.363 crystal_system=orthorhombic pbc="T T T"
Li 0.000 0.000 0.000
In 2.531 0.000 0.000
Tc 1.265 2.237 1.400
Tc 1.265 -2.237 1.400

***

Entry 7:
5
Lattice="-2.090 2.090 4.889 2.090 -2.090 4.889 2.090 2.090 -4.889" Properties=species:S:1:pos:R:3 comment="CeMoP2Ru GGA-PBE optimized geometry" n_ef_per_ev_atom=1.30 ef_ev_per_atom=-0.863 crystal_system=tetragonal pbc="T T T"
Ce 0.000 0.000 0.000
Mo 2.090 0.000 2.444
P 0.000 0.000 3.601
P 0.000 0.000 6.177
Ru 0.000 2.090 2.444

***

Entry 8:
4
Lattice="-1.870 1.870 4.050 1.870 -1.870 4.050 1.870 1.870 -4.050" Properties=species:S:1:pos:R:3 comment="Mn2BeIn GGA-PBE optimized geometry" n_ef_per_ev_atom=0.90 ef_ev_per_atom=0.334 crystal_system=tetragonal relative_energy_mev_per_atom=179 pbc="T T T"
Mn 0.000 0.000 0.000
Mn 0.000 1.870 2.025
Be 1.870 0.000 2.025
In 0.000 0.000 4.050

***

Entry 9:
4
Lattice="0.000 3.692 3.692 3.692 0.000 3.692 3.692 3.692 0.000" Properties=species:S:1:pos:R:3 comment="GdThCuHg GGA-PBE optimized geometry" n_ef_per_ev_atom=0.82 ef_ev_per_atom=-0.189 crystal_system=cubic pbc="T T T"
Gd 0.000 0.000 0.000
Th 3.692 3.692 3.692
Cu 1.846 1.846 1.846
Hg 5.537 5.537 5.537

***

Entry 10:
4
Lattice="4.389 0.000 0.000 0.000 2.450 3.723 0.000 -2.450 3.723" Properties=species:S:1:pos:R:3 comment="Cu2TeAs GGA-PBE optimized geometry" n_ef_per_ev_atom=0.51 raw_formation_energy_ev_per_atom=0.059 crystal_system=orthorhombic relative_energy_mev_per_atom=0 pbc="T T T"
Cu 0.000 0.000 0.000
Cu 2.195 0.000 1.291
Te 0.000 0.000 2.704
As 2.195 0.000 6.222

***

Entry 11:
12
Lattice="5.643 0.000 0.000 0.000 9.794 0.000 0.000 0.000 7.011" Properties=species:S:1:pos:R:3 comment="Pr2Ho2ErTm GGA-PBE optimized geometry" n_ef_per_ev_atom=1.49 ef_ev_per_atom=0.070 crystal_system=orthorhombic pbc="T T T"
Pr 0.000 0.002 0.000
Pr 0.000 9.792 3.506
Pr 2.822 1.753 1.754
Pr 2.822 8.041 5.260
Ho 0.000 3.271 1.750
Ho 0.000 6.523 5.256
Ho 2.822 1.613 5.259
Ho 2.822 8.181 1.753
Er 0.000 3.346 5.255
Er 0.000 6.449 1.749
Tm 2.822 4.896 7.008
Tm 2.822 4.899 3.503

***

Entry 12:
5
Lattice="-2.639 2.639 3.267 2.639 -2.639 3.267 2.639 2.639 -3.267" Properties=species:S:1:pos:R:3 comment="Sc2Os2C GGA-PBE optimized geometry" n_ef_per_ev_atom=0.75 ef_ev_per_atom=0.464 crystal_system=tetragonal relative_energy_mev_per_atom=341 pbc="T T T"
Sc 2.639 0.000 1.633
Sc 0.000 2.639 1.633
Os 0.000 0.000 1.378
Os 0.000 0.000 5.155
C 0.000 0.000 3.267

***

Entry 13:
11
Lattice="10.091 0.000 0.000 -5.045 8.739 0.000 0.000 0.000 3.670" Properties=species:S:1:pos:R:3 comment="Pm5Ga3Sn3 GGA-PBE optimized geometry" n_ef_per_ev_atom=0.60 ef_ev_per_atom=-0.244 crystal_system=hexagonal pbc="T T T"
Pm -3.630 6.288 0.000
Pm 1.415 2.451 0.000
Pm 0.000 5.826 0.000
Pm 5.045 2.913 0.000
Pm 7.261 0.000 0.000
Ga -0.787 1.363 1.835
Ga 1.574 0.000 1.835
Ga 4.259 7.376 1.835
Sn -1.929 3.340 0.000
Sn 3.857 0.000 0.000
Sn 3.117 5.398 0.000

***

Entry 14:
10
Lattice="4.368 0.000 0.000 0.000 4.368 0.000 0.000 0.000 10.228" Properties=species:S:1:pos:R:3 comment="La2Ge4Rh3Au GGA-PBE optimized geometry" n_ef_per_ev_atom=0.65 ef_ev_per_atom=-0.803 crystal_system=tetragonal pbc="T T T"
La 0.000 2.184 2.446
La 2.184 0.000 7.782
Ge 0.000 0.000 0.000
Ge 0.000 2.184 6.536
Ge 2.184 0.000 3.692
Ge 2.184 2.184 0.000
Rh 0.000 2.184 8.984
Rh 2.184 0.000 1.244
Rh 2.184 2.184 5.114
Au 0.000 0.000 5.114

***

Entry 15:
6
Lattice="-1.680 2.706 4.906 1.680 -2.706 4.906 1.680 2.706 -4.906" Properties=species:S:1:pos:R:3 comment="ZrBW GGA-PBE optimized geometry" n_ef_per_ev_atom=0.70 ef_ev_per_atom=-0.299 crystal_system=orthorhombic relative_energy_mev_per_atom=123 pbc="T T T"
Zr 0.000 0.000 2.057
Zr 0.000 0.000 7.754
B 1.680 0.000 4.011
B 0.000 2.706 0.894
W 1.680 1.358 0.000
W 0.000 1.348 4.906

***

Entry 16:
10
Lattice="4.382 0.000 0.000 0.000 4.382 0.000 0.000 0.000 10.098" Properties=species:S:1:pos:R:3 comment="Ac2GeP3Pd4 GGA-PBE optimized geometry" n_ef_per_ev_atom=0.56 ef_ev_per_atom=-0.915 crystal_system=tetragonal pbc="T T T"
Ac 0.000 2.191 2.485
Ac 2.191 0.000 7.613
Ge 0.000 0.000 5.049
P 0.000 2.191 8.771
P 2.191 0.000 1.327
P 2.191 2.191 5.049
Pd 0.000 0.000 0.000
Pd 0.000 2.191 6.314
Pd 2.191 0.000 3.785
Pd 2.191 2.191 0.000

***

Entry 17:
4
Lattice="4.110 0.000 0.000 0.000 4.110 0.000 0.000 0.000 2.838" Properties=species:S:1:pos:R:3 comment="BeAl2Ni GGA-PBE optimized geometry" n_ef_per_ev_atom=0.13 ef_ev_per_atom=-0.230 crystal_system=tetragonal pbc="T T T"
Be 0.000 0.000 0.000
Al 0.000 2.055 1.419
Al 2.055 0.000 1.419
Ni 2.055 2.055 0.000

***

Entry 18:
14
Lattice="7.051 0.000 0.000 0.000 6.782 0.000 -3.218 0.000 7.733" Properties=species:S:1:pos:R:3 comment="ErTh4Co2 GGA-PBE optimized geometry" n_ef_per_ev_atom=1.13 ef_ev_per_atom=-0.126 crystal_system=monoclinic pbc="T T T"
Er -0.859 1.695 2.158
Er 4.692 5.086 5.575
Th -0.607 1.695 5.454
Th 1.777 3.398 0.728
Th 1.777 6.774 0.728
Th 0.779 5.086 3.872
Th 3.054 1.695 3.861
Th 2.056 0.007 7.006
Th 2.056 3.383 7.006
Th 4.440 5.086 2.280
Co -0.363 5.086 1.104
Co 0.008 5.086 6.672
Co 3.824 1.695 1.061
Co 4.195 1.695 6.630

***

Entry 19:
7
Lattice="2.254 1.302 7.267 -2.254 1.302 7.267 0.000 -2.603 7.267" Properties=species:S:1:pos:R:3 comment="Mg4Zn2Ir GGA-PBE optimized geometry" n_ef_per_ev_atom=0.40 ef_ev_per_atom=-0.193 crystal_system=trigonal pbc="T T T"
Mg 0.000 0.000 2.706
Mg 0.000 0.000 8.135
Mg 0.000 0.000 13.666
Mg 0.000 0.000 19.096
Zn 0.000 0.000 5.343
Zn 0.000 0.000 16.458
Ir 0.000 0.000 10.901

***

Entry 20:
10
Lattice="4.652 -2.073 0.000 4.652 2.073 0.000 -3.175 0.000 6.559" Properties=species:S:1:pos:R:3 comment="V3BRh GGA-PBE optimized geometry" n_ef_per_ev_atom=1.15 ef_ev_per_atom=-0.183 crystal_system=monoclinic relative_energy_mev_per_atom=0 pbc="T T T"
V 0.446 0.000 1.353
V -0.831 0.000 4.261
V 3.227 0.000 0.478
V 2.902 0.000 6.081
V 6.960 0.000 2.298
V 5.683 0.000 5.206
B -1.788 0.000 6.087
B 7.917 0.000 0.472
Rh 1.712 0.000 3.667
Rh 4.417 0.000 2.892

***

Number 1: uncorrected energy -4.70 eV/atom. Number 2: uncorrected energy -3.53 eV/atom. Number 3: uncorrected energy -7.80 eV/atom. Number 4: uncorrected energy -4.90 eV/atom. Number 5: uncorrected energy -1.94 eV/atom. Number 6: uncorrected energy -5.98 eV/atom. Number 7: uncorrected energy -8.24 eV/atom. Number 8: uncorrected energy -5.87 eV/atom. Number 9: uncorrected energy -6.66 eV/atom. Number 10: uncorrected energy -3.94 eV/atom. Number 11: uncorrected energy -4.56 eV/atom. Number 12: uncorrected energy -8.40 eV/atom. Number 13: uncorrected energy -4.32 eV/atom. Number 14: uncorrected energy -6.17 eV/atom. Number 15: uncorrected energy -9.69 eV/atom. Number 16: uncorrected energy -5.90 eV/atom. Number 17: uncorrected energy -4.48 eV/atom. Number 18: uncorrected energy -7.05 eV/atom. Number 19: uncorrected energy -2.73 eV/atom. Number 20: uncorrected energy -8.46 eV/atom.